Entry 1:
ZnHg2Pt2 | GGA-PBE | relaxed

Structure (POSCAR):
```
ZnHg2Pt2
1.0
6.676 0.000 0.000
0.000 6.676 0.000
0.000 0.000 4.233
Zn Hg Pt
2 4 4
Cartesian
0.000 0.000 0.000 Zn
3.338 3.338 0.000 Zn
1.093 2.245 2.117 Hg
2.245 5.583 2.117 Hg
4.431 1.093 2.117 Hg
5.583 4.431 2.117 Hg
0.963 4.301 0.000 Pt
2.375 0.963 0.000 Pt
4.301 5.713 0.000 Pt
5.713 2.375 0.000 Pt
```

**V**: 188.7 Å³/cell
**Total DFT energy (no corrections)**: -2.902 eV per atom
**Total magnetic moment**: 0.000 μB/atom
**Crystal system**: tetragonal
**Energy relative to the elements**: -0.110 eV/atom



Entry 2:
Zn2HgPt2 | GGA-PBE | relaxed

Structure (POSCAR):
```
Zn2HgPt2
1.0
-1.957 1.957 5.891
1.957 -1.957 5.891
1.957 1.957 -5.891
Zn Hg Pt
2 1 2
Cartesian
0.000 0.000 1.249 Zn
0.000 0.000 10.534 Zn
0.000 0.000 5.891 Hg
1.957 0.000 2.946 Pt
0.000 1.957 2.946 Pt
```

**V**: 90.2 Å³/cell
**Total DFT energy (no corrections)**: -3.106 eV per atom
**Total magnetic moment**: 0.000 μB/atom
**Crystal system**: tetragonal
**Energy relative to the elements**: -0.120 eV/atom
**Distance to the lowest polymorph of the same formula**: 230 meV per atom



Entry 3:
ZnHgPt2 | GGA-PBE | relaxed

Structure (POSCAR):
```
ZnHgPt2
1.0
-1.486 2.325 4.851
1.486 -2.325 4.851
1.486 2.325 -4.851
Zn Hg Pt
1 1 2
Cartesian
0.000 0.000 0.000 Zn
1.486 0.000 2.511 Hg
0.000 0.000 5.072 Pt
0.000 2.325 2.703 Pt
```

**V**: 67.0 Å³/cell
**Total DFT energy (no corrections)**: -3.522 eV per atom
**Total magnetic moment**: 0.000 μB/atom
**Crystal system**: orthorhombic
**Energy relative to the elements**: -0.108 eV/atom



Entry 4:
ZnHg2Pt | GGA-PBE | relaxed

Structure (POSCAR):
```
ZnHg2Pt
1.0
6.497 -1.445 0.000
6.497 1.445 0.000
-1.756 0.000 4.456
Zn Hg Pt
1 2 1
Cartesian
0.000 0.000 0.000 Zn
1.309 0.000 3.092 Hg
4.490 0.000 1.784 Hg
8.503 0.000 0.793 Pt
```

**V**: 83.6 Å³/cell
**Total DFT energy (no corrections)**: -2.008 eV per atom
**Total magnetic moment**: 0.000 μB/atom
**Crystal system**: monoclinic
**Energy relative to the elements**: -0.029 eV/atom